(1)
The following is a PBE calculation of Ac6CoPb3 after structural relaxation, from the Alexandria database.

Properties
DOS(E_F)	22.61	states/eV per cell
raw total energy	-89.3	eV for the cell shown
SG	Cmc2_1
E_form	-0.175	eV per atom
spin magnetization	0.000	Bohr magnetons per cell

abc: 8.0119 10.1954 10.1954
angles: 101.89 90.00 90.00
Last column: nearest neighbours and their distance in Å.
Atoms (fractional coordinates):
Pb: 0.4914 0.9260 0.7057  7 Ac 3.41-3.66
Pb: 0.4914 0.2943 0.0740  7 Ac 3.41-3.66
Pb: 0.9914 0.7057 0.9260  7 Ac 3.41-3.66
Pb: 0.3815 0.3762 0.6238  7 Ac 3.39-3.55
Pb: 0.8815 0.6238 0.3762  7 Ac 3.39-3.55
Pb: 0.9914 0.0740 0.2943  7 Ac 3.41-3.66
Co: 0.9948 0.1386 0.8614  5 Ac 2.79-3.07
Co: 0.4948 0.8614 0.1386  5 Ac 2.79-3.07
Ac: 0.6475 0.9136 0.3894  1 Co 2.79
Ac: 0.6945 0.3173 0.3717  4 Pb 3.41-3.55
Ac: 0.1945 0.3717 0.3173  4 Pb 3.41-3.55
Ac: 0.1475 0.3894 0.9136  1 Co 2.79
Ac: 0.6946 0.2321 0.7679  1 Co 2.82
Ac: 0.1475 0.0864 0.6106  1 Co 2.79
Ac: 0.2476 0.0097 0.9903  2 Co 2.88-3.07
Ac: 0.1946 0.7679 0.2321  1 Co 2.82
Ac: 0.6475 0.6106 0.0864  1 Co 2.79
Ac: 0.6945 0.6283 0.6827  4 Pb 3.41-3.55
Ac: 0.1945 0.6827 0.6283  4 Pb 3.41-3.55
Ac: 0.7476 0.9903 0.0097  2 Co 2.88-3.07

---

(2)
The following is a PBE calculation of ClF after structural relaxation, from the Alexandria database.

Properties
DOS(E_F)	0.00	states/eV per cell
formation energy (no corrections)	-7.83	kcal/mol of atoms
raw total energy	-35.2	eV for the cell shown
E above lowest polymorph	0.070	eV/atom
SG	P4/m
spin magnetization	0.000	Bohr magnetons per cell

abc: 10.0541 10.0541 3.9624
angles: 90.00 90.00 90.00
Last column: nearest neighbours and their distance in Å.
Atoms (fractional coordinates):
F: 0.6754 0.9992 0.0000  1 Cl 1.70
F: 0.2649 0.6884 0.5000  1 Cl 1.67
F: 0.3116 0.2649 0.5000  1 Cl 1.67
F: 0.6884 0.7351 0.5000  1 Cl 1.67
F: 0.0008 0.6754 0.0000  1 Cl 1.70
F: 0.7351 0.3116 0.5000  1 Cl 1.67
F: 0.9992 0.3246 0.0000  1 Cl 1.70
F: 0.3246 0.0008 0.0000  1 Cl 1.70
Cl: 0.5225 0.7417 0.5000  1 F 1.67
Cl: 0.1672 0.9386 0.0000  1 F 1.70
Cl: 0.4775 0.2583 0.5000  1 F 1.67
Cl: 0.9386 0.8328 0.0000  1 F 1.70
Cl: 0.0614 0.1672 0.0000  1 F 1.70
Cl: 0.2583 0.5225 0.5000  1 F 1.67
Cl: 0.7417 0.4775 0.5000  1 F 1.67
Cl: 0.8328 0.0614 0.0000  1 F 1.70

---

(3)
The following is a PBE calculation of Tm4CdInHg2 after structural relaxation, from the Alexandria database.

Properties
DOS(E_F)	7.35	states/eV per cell
raw total energy	-25.4	eV for the cell shown
SG	R-3m
E_form	-0.413	eV per atom
spin magnetization	0.000	Bohr magnetons per cell

abc: 5.2134 5.2134 9.0721
angles: 73.30 73.30 60.00
Last column: nearest neighbours and their distance in Å.
Atoms (fractional coordinates):
Hg: 0.2467 0.2467 0.2600  8 Tm 3.12-3.30
Hg: 0.7533 0.7533 0.7400  8 Tm 3.12-3.30
Tm: 0.8750 0.8750 0.3750  4 Hg 3.12-3.17, 3 Cd 3.19, 1 In 3.21
Tm: 0.6246 0.6246 0.1261  3 In 3.20, 1 Cd 3.20, 4 Hg 3.22-3.30
Tm: 0.3754 0.3754 0.8739  3 In 3.20, 1 Cd 3.20, 4 Hg 3.22-3.30
Tm: 0.1250 0.1250 0.6250  4 Hg 3.12-3.17, 3 Cd 3.19, 1 In 3.21
Cd: 0.5000 0.5000 0.5000  8 Tm 3.19-3.20
In: 0.0000 0.0000 0.0000  8 Tm 3.20-3.21

---

(4)
The following is a PBE calculation of Sm7Ru2Au2 after structural relaxation, from the Alexandria database.

Properties
DOS(E_F)	9.48	states/eV per cell
raw total energy	-61.6	eV for the cell shown
SG	Cmmm
E_form	-0.319	eV per atom
spin magnetization	0.000	Bohr magnetons per cell

abc: 6.8096 7.0811 6.8096
angles: 90.00 109.00 90.00
Last column: nearest neighbours and their distance in Å.
Atoms (fractional coordinates):
Sm: 0.5000 0.7394 0.0000  2 Ru 2.75
Sm: 0.5000 0.2606 0.0000  2 Ru 2.75
Sm: 0.0000 0.2606 0.5000  2 Ru 2.75
Sm: 0.5000 0.7498 0.5000  2 Ru 2.87, 2 Au 3.08
Sm: 0.0000 0.7394 0.5000  2 Ru 2.75
Sm: 0.0000 0.0000 0.0000  2 Ru 3.29
Sm: 0.5000 0.2502 0.5000  2 Ru 2.87, 2 Au 3.08
Ru: 0.7033 0.0000 0.2967  6 Sm 2.75-2.87
Ru: 0.2967 0.0000 0.7033  6 Sm 2.75-2.87
Au: 0.8192 0.5000 0.8192  1 Au 2.86, 2 Sm 3.08
Au: 0.1808 0.5000 0.1808  1 Au 2.86, 2 Sm 3.08

---

(5)
The following is a PBE calculation of MnBN3 after structural relaxation, from the Alexandria database.

Properties
DOS(E_F)	3.12	states/eV per cell
formation energy (no corrections)	27.71	kcal/mol of atoms
raw total energy	-34.8	eV for the cell shown
SG	Pm-3m
spin magnetization	2.294	Bohr magnetons per cell

abc: 3.3427 3.3427 3.3427
angles: 90.00 90.00 90.00
Last column: nearest neighbours and their distance in Å.
Atoms (fractional coordinates):
B: 0.0000 0.0000 0.0000  6 N 1.67
N: 0.0000 0.5000 0.0000  2 B 1.67
N: 0.0000 0.0000 0.5000  2 B 1.67
N: 0.5000 0.0000 0.0000  2 B 1.67
Mn: 0.5000 0.5000 0.5000  12 N 2.36

---

(6)
The following is a PBE calculation of DyFe4C4 after structural relaxation, from the Alexandria database.

Properties
DOS(E_F)	11.01	states/eV per cell
raw total energy	-150.1	eV for the cell shown
SG	P4_2/n
E_form	0.033	eV per atom
spin magnetization	3.995	Bohr magnetons per cell

abc: 3.5920 6.9770 6.9770
angles: 90.00 90.00 90.00
Last column: nearest neighbours and their distance in Å.
Atoms (fractional coordinates):
C: 0.1231 0.7842 0.6683  1 C 1.54
C: 0.8769 0.3317 0.7842  1 C 1.54
C: 0.1231 0.2158 0.3317  1 C 1.54
C: 0.3769 0.2842 0.1683  1 C 1.54
C: 0.6231 0.8317 0.2842  1 C 1.54
C: 0.3769 0.7158 0.8317  1 C 1.54
C: 0.8769 0.6683 0.2158  1 C 1.54
C: 0.6231 0.1683 0.7158  1 C 1.54
Fe: 0.6290 0.8997 0.6575  4 C 1.92-1.99
Fe: 0.6290 0.1003 0.3425  4 C 1.92-1.99
Fe: 0.3710 0.3425 0.8997  4 C 1.92-1.99
Fe: 0.8710 0.3997 0.1575  4 C 1.92-1.99
Fe: 0.3710 0.6575 0.1003  4 C 1.92-1.99
Fe: 0.8710 0.6003 0.8425  4 C 1.92-1.99
Fe: 0.1290 0.8425 0.3997  4 C 1.92-1.99
Fe: 0.1290 0.1575 0.6003  4 C 1.92-1.99
Dy: 0.5000 0.5000 0.5000  8 C 2.67-2.80, 4 Fe 2.82
Dy: 0.0000 0.0000 0.0000  8 C 2.67-2.80, 4 Fe 2.82

---

Q: What is the formula in the first record?
A: Ac6CoPb3